(1)
VASP calculation (PBE) on an optimized crystal structure of Cu5Hg12Te3.

abc: 14.329 14.329 14.329
angles: 109.47 109.47 109.47
Fractional positions:
Te 0.750 0.375 0.125
Te 0.875 0.750 0.125
Te 0.375 0.750 0.625
Te 0.250 0.125 0.375
Te 0.875 0.125 0.250
Te 0.375 0.625 0.250
Te 0.625 0.375 0.750
Te 0.125 0.875 0.750
Te 0.750 0.875 0.625
Te 0.625 0.250 0.375
Te 0.125 0.250 0.875
Te 0.250 0.625 0.875
Cu 0.125 0.375 0.250
Cu 0.000 0.500 0.000
Cu 0.000 0.000 0.000
Cu 0.375 0.250 0.125
Cu 0.500 0.000 0.500
Cu 0.500 0.500 0.000
Cu 0.125 0.750 0.375
Cu 0.750 0.125 0.875
Cu 0.750 0.625 0.375
Cu 0.375 0.125 0.750
Cu 0.625 0.875 0.250
Cu 0.500 0.500 0.500
Cu 0.500 0.000 0.000
Cu 0.000 0.000 0.500
Cu 0.250 0.375 0.625
Cu 0.250 0.875 0.125
Cu 0.000 0.500 0.500
Cu 0.875 0.250 0.625
Cu 0.625 0.750 0.875
Cu 0.875 0.625 0.750
Hg 0.708 0.109 0.032
Hg 0.324 0.532 0.424
Hg 0.968 0.391 0.292
Hg 0.532 0.208 0.109
Hg 0.599 0.708 0.676
Hg 0.968 0.576 0.176
Hg 0.324 0.792 0.401
Hg 0.076 0.901 0.109
Hg 0.576 0.968 0.676
Hg 0.708 0.599 0.176
Hg 0.792 0.468 0.391
Hg 0.824 0.924 0.032
Hg 0.109 0.708 0.532
Hg 0.391 0.424 0.099
Hg 0.099 0.924 0.391
Hg 0.401 0.109 0.576
Hg 0.099 0.176 0.208
Hg 0.468 0.676 0.076
Hg 0.824 0.901 0.292
Hg 0.109 0.401 0.076
Hg 0.391 0.968 0.792
Hg 0.576 0.609 0.401
Hg 0.924 0.824 0.532
Hg 0.792 0.324 0.901
Hg 0.424 0.391 0.599
Hg 0.076 0.176 0.468
Hg 0.208 0.676 0.099
Hg 0.176 0.099 0.708
Hg 0.609 0.032 0.208
Hg 0.891 0.599 0.924
Hg 0.532 0.324 0.924
Hg 0.599 0.891 0.424
Hg 0.901 0.824 0.792
Hg 0.901 0.076 0.609
Hg 0.891 0.292 0.468
Hg 0.176 0.076 0.968
Hg 0.609 0.576 0.901
Hg 0.424 0.032 0.324
Hg 0.292 0.401 0.824
Hg 0.208 0.532 0.609
Hg 0.924 0.099 0.891
Hg 0.676 0.208 0.599
Hg 0.468 0.792 0.891
Hg 0.032 0.424 0.824
Hg 0.401 0.292 0.324
Hg 0.032 0.609 0.708
Hg 0.676 0.468 0.576
Hg 0.292 0.891 0.968

## Properties
E_tot   -0.106 Ry per atom
Energy relative to the elements, uncorrected   0.231 eV/atom
DOS at the Fermi energy   9.22 states/eV/f.u.
Symmetry   Ia-3d, No. 230



(2)
VASP calculation (PBE) on an optimized crystal structure of CuHg3Te.

abc: 5.129 5.129 5.129
angles: 90.00 90.00 90.00
Fractional positions:
Te 0.500 0.500 0.500
Hg 0.000 0.500 0.000
Hg 0.000 0.000 0.500
Hg 0.500 0.000 0.000
Cu 0.000 0.000 0.000

## Properties
E_tot   -0.101 Ry per atom
Energy relative to the elements, uncorrected   0.257 eV/atom
DOS at the Fermi energy   5.90 states/eV/f.u.
Symmetry   Pm-3m, No. 221



(3)
VASP calculation (PBE) on an optimized crystal structure of CuHgTe.

abc: 10.448 10.448 10.448
angles: 23.87 23.87 23.87
Fractional positions:
Cu 0.159 0.159 0.159
Cu 0.399 0.399 0.399
Hg 0.247 0.247 0.247
Hg 0.639 0.639 0.639
Te 0.484 0.484 0.484
Te 0.040 0.040 0.040

## Properties
E_tot   -0.184 Ry per atom
Energy relative to the elements, uncorrected   0.015 eV/atom
DOS at the Fermi energy   1.89 states/eV/f.u.
Symmetry   R3m, No. 160



(4)
VASP calculation (PBE) on an optimized crystal structure of Cu2Hg2Te.

abc: 7.033 7.033 4.158
angles: 90.00 90.00 90.00
Fractional positions:
Te 0.000 0.000 0.000
Te 0.500 0.500 0.000
Hg 0.158 0.658 0.500
Hg 0.658 0.842 0.500
Hg 0.842 0.342 0.500
Hg 0.342 0.158 0.500
Cu 0.368 0.868 0.000
Cu 0.868 0.632 0.000
Cu 0.632 0.132 0.000
Cu 0.132 0.368 0.000

## Properties
E_tot   -0.161 Ry per atom
Energy relative to the elements, uncorrected   0.202 eV/atom
DOS at the Fermi energy   1.80 states/eV/f.u.
Symmetry   P4/mbm, No. 127



(5)
VASP calculation (PBE) on an optimized crystal structure of Cu2Hg2Te.

abc: 4.018 4.018 7.051
angles: 73.44 73.44 90.00
Fractional positions:
Te 0.000 0.000 0.000
Hg 0.750 0.250 0.500
Hg 0.250 0.750 0.500
Cu 0.407 0.407 0.185
Cu 0.593 0.593 0.815

## Properties
E_tot   -0.158 Ry per atom
Energy relative to the elements, uncorrected   0.243 eV/atom
DOS at the Fermi energy   2.12 states/eV/f.u.
Symmetry   I4/mmm, No. 139



(6)
VASP calculation (PBE) on an optimized crystal structure of CuHg2Te3.

abc: 4.497 6.393 7.813
angles: 114.15 106.73 90.00
Fractional positions:
Cu 0.500 0.238 0.000
Hg 0.836 0.592 0.672
Hg 0.164 0.920 0.328
Te 0.000 0.038 0.000
Te 0.347 0.325 0.694
Te 0.653 0.631 0.306

## Properties
E_tot   -0.181 Ry per atom
Energy relative to the elements, uncorrected   -0.108 eV/atom
DOS at the Fermi energy   3.34 states/eV/f.u.
Symmetry   Imm2, No. 44



(7)
VASP calculation (PBE) on an optimized crystal structure of CuHgTe.

abc: 4.636 4.636 4.636
angles: 60.00 60.00 60.00
Fractional positions:
Cu 0.750 0.750 0.750
Hg 0.000 0.000 0.000
Te 0.500 0.500 0.500

## Properties
E_tot   -0.179 Ry per atom
Energy relative to the elements, uncorrected   0.083 eV/atom
DOS at the Fermi energy   1.62 states/eV/f.u.
Symmetry   F-43m, No. 216



(8)
VASP calculation (PBE) on an optimized crystal structure of Cu2HgTe3.

abc: 7.502 7.502 7.505
angles: 99.35 99.35 120.31
Fractional positions:
Cu 0.600 0.436 0.012
Cu 0.756 0.265 0.514
Cu 0.436 0.600 0.512
Cu 0.265 0.756 0.014
Hg 0.095 0.923 0.498
Hg 0.923 0.095 0.998
Te 0.056 0.256 0.403
Te 0.256 0.056 0.903
Te 0.882 0.418 0.873
Te 0.418 0.882 0.373
Te 0.522 0.686 0.872
Te 0.686 0.522 0.372

## Properties
E_tot   -0.224 Ry per atom
Energy relative to the elements, uncorrected   -0.061 eV/atom
DOS at the Fermi energy   4.88 states/eV/f.u.
Symmetry   Cc, No. 9